1.
Sc3MnS | the Alexandria database | PBEsol | optimized geometry; crystal system = cubic
1.0
4.688 0.000 0.000
0.000 4.688 0.000
0.000 0.000 4.688
Sc S Mn
3 1 1
Direct
0.000 0.000 0.500
0.500 0.000 0.000
0.000 0.500 0.000
0.500 0.500 0.500
0.000 0.000 0.000

---

2.
MnSiS2 | the Alexandria database | PBEsol | optimized geometry; crystal system = tetragonal
1.0
5.021 0.000 0.000
0.000 5.021 0.000
-2.511 -2.511 5.068
S Si Mn
4 2 2
Direct
0.358 0.875 0.250
0.125 0.108 0.750
0.625 0.642 0.750
0.892 0.375 0.250
0.750 0.250 0.500
0.500 0.500 0.000
0.000 0.000 0.000
0.250 0.750 0.500

---

| no. | formation energy from raw total energies (kJ/mol of atoms) | E (eV per atom) | magnetization (μB/cell) |
| --- | --- | --- | --- |
| 1 | 6.4 | -6.73 | 0.59 |
| 2 | -8.2 | -6.15 | 0.01 |